A:
Below is a relaxed NiHgSeN2 crystal, with properties calculated at the PBE-GGA level.

a = 4.1030 Å, b = 4.1030 Å, c = 5.9635 Å
α = 90.00°, β = 90.00°, γ = 90.00°
Positions (direct):
1 Ni 0.0000 0.0000 0.0000
2 Hg 0.5000 0.5000 0.5000
3 Se 0.5000 0.5000 0.0000
4 N 0.0000 0.5000 0.5000
5 N 0.5000 0.0000 0.5000

total moment: 4.67 μB per cell
space-group type: P4/mmm, No. 123

---

B:
Below is a relaxed NiHgSeN2 crystal, with properties calculated at the PBE-GGA level.

a = 3.8030 Å, b = 3.8030 Å, c = 5.5310 Å
α = 90.00°, β = 90.00°, γ = 90.00°
Positions (direct):
1 Ni 0.0000 0.0000 0.0000
2 Hg 0.5000 0.5000 0.5000
3 Se 0.0000 0.0000 0.5000
4 N 0.0000 0.5000 0.0000
5 N 0.5000 0.0000 0.0000

total moment: 3.82 μB per cell
space-group type: P4/mmm, No. 123

---

B comes first in stability; the runner-up is 979 meV per atom higher.